#P
InIrRh | GGA-PBE | relaxed

Structure (CIF):
```
data_InIrRh
_cell_length_a 2.9182
_cell_length_b 2.9182
_cell_length_c 6.6344
_cell_angle_alpha 90.00
_cell_angle_beta 90.00
_cell_angle_gamma 120.00
_space_group_name_H-M_alt 'P 3 m 1'
_space_group_IT_number 156
loop_
_space_group_symop_operation_xyz
'x,y,z'
'-y,x-y,z'
'-x+y,-x,z'
'-y,-x,z'
'-x+y,y,z'
'x,x-y,z'
loop_
_atom_site_label
_atom_site_fract_x
_atom_site_fract_y
_atom_site_fract_z
In1 0.0000 0.0000 0.0000
Ir1 0.6667 0.3333 0.3430
Rh1 0.3333 0.6667 0.6657
```

Output
* size of the total moment: 0.00 μB/cell

#Q
InIrRh | GGA-PBE | relaxed

Structure (CIF):
```
data_InIrRh
_cell_length_a 6.160
_cell_length_b 6.160
_cell_length_c 6.160
_cell_angle_alpha 90.00
_cell_angle_beta 90.00
_cell_angle_gamma 90.00
_space_group_name_H-M_alt 'F -4 3 m'
_space_group_IT_number 216
_space_group_name_Hall 'F -4 2 3'
loop_
_atom_site_label
_atom_site_fract_x
_atom_site_fract_y
_atom_site_fract_z
In1 0.000 0.000 0.000
Ir1 0.250 0.250 0.250
Rh1 0.000 0.000 0.500
```

Output
* size of the total moment: 5.38 μB/cell

Verdict on stability: #P comes out on top.